Record 1
Density functional theory data (PBE) for PrB4Mo after structural relaxation.

Cell: 3.2004 5.5484 7.4556 Å, 90.00 90.00 90.00°
Space group Immm (No. 71)
Unique sites:
Pr (0.0000, 0.0000, 0.0000) [2 per cell]
B (0.0000, 0.3395, 0.2430) [8 per cell]
Mo (0.0000, 0.0000, 0.5000) [2 per cell]

Summary:
Total magnetization: 0.00 μB/cell
Crystal system: orthorhombic
Total DFT energy (no corrections): -43.25 eV per formula unit


Record 2
Density functional theory data (PBE) for Mg2ScPd after structural relaxation.

Cell: 6.6993 6.6993 6.6993 Å, 90.00 90.00 90.00°
Space group F-43m (No. 216)
Unique sites:
Mg (0.0000, 0.0000, 0.0000) [4 per cell]
Mg (0.2500, 0.2500, 0.2500) [4 per cell]
Sc (0.0000, 0.0000, 0.5000) [4 per cell]
Pd (0.2500, 0.2500, 0.7500) [4 per cell]

Summary:
Total magnetization: 0.02 μB/cell
Crystal system: cubic
Total DFT energy (no corrections): -16.24 eV per formula unit


- Number 2 is which compound?
  Mg2ScPd


Copy entry 1 word for word.
Density functional theory data (PBE) for PrB4Mo after structural relaxation.

Cell: 3.2004 5.5484 7.4556 Å, 90.00 90.00 90.00°
Space group Immm (No. 71)
Unique sites:
Pr (0.0000, 0.0000, 0.0000) [2 per cell]
B (0.0000, 0.3395, 0.2430) [8 per cell]
Mo (0.0000, 0.0000, 0.5000) [2 per cell]

Summary:
Total magnetization: 0.00 μB/cell
Crystal system: orthorhombic
Total DFT energy (no corrections): -43.25 eV per formula unit


- What is the total DFT energy (no corrections) in the first record?
  -43.25 eV per formula unit